1.
Tl2CdPdCl: relaxed, PBE.

Raw formation energy in eV/atom: -0.365
VASP energy in eV per atom: -2.90
Theoretical density in g cm⁻³: 7.3
Space-group type: P4/mmm

Geometry as CIF:
```
data_Tl2CdPdCl
_cell_length_a 5.3541
_cell_length_b 5.3541
_cell_length_c 5.2625
_cell_angle_alpha 90.00
_cell_angle_beta 90.00
_cell_angle_gamma 90.00
_symmetry_space_group_name_H-M 'P 1'
_symmetry_Int_Tables_number 1
loop_
_symmetry_equiv_pos_as_xyz
'x,y,z'
loop_
_atom_site_label
_atom_site_fract_x
_atom_site_fract_y
_atom_site_fract_z
_atom_site_occupancy
Tl1 0.0000 0.5000 0.0000 1
Tl2 0.5000 0.0000 0.0000 1
Cd1 0.0000 0.0000 0.5000 1
Pd1 0.0000 0.0000 0.0000 1
Cl1 0.5000 0.5000 0.5000 1
```

***

2.
Pm3CdCl: relaxed, PBE.

Raw formation energy in eV/atom: -0.514
VASP energy in eV per atom: -3.92
Theoretical density in g cm⁻³: 6.5
Space-group type: Pm-3m

Geometry as CIF:
```
data_Pm3CdCl
_cell_length_a 5.3096
_cell_length_b 5.3096
_cell_length_c 5.3096
_cell_angle_alpha 90.00
_cell_angle_beta 90.00
_cell_angle_gamma 90.00
_symmetry_space_group_name_H-M 'P 1'
_symmetry_Int_Tables_number 1
loop_
_symmetry_equiv_pos_as_xyz
'x,y,z'
loop_
_atom_site_label
_atom_site_fract_x
_atom_site_fract_y
_atom_site_fract_z
_atom_site_occupancy
Pm1 0.0000 0.0000 0.5000 1
Pm2 0.0000 0.5000 0.0000 1
Pm3 0.5000 0.0000 0.0000 1
Cd1 0.5000 0.5000 0.5000 1
Cl1 0.0000 0.0000 0.0000 1
```

***

3.
PmCdCl: relaxed, PBE.

Raw formation energy in eV/atom: -1.027
VASP energy in eV per atom: -3.53
Theoretical density in g cm⁻³: 5.4
Space-group type: P2_1/m

Geometry as CIF:
```
data_PmCdCl
_cell_length_a 3.8162
_cell_length_b 3.8046
_cell_length_c 12.4859
_cell_angle_alpha 90.00
_cell_angle_beta 90.14
_cell_angle_gamma 90.00
_symmetry_space_group_name_H-M 'P 1'
_symmetry_Int_Tables_number 1
loop_
_symmetry_equiv_pos_as_xyz
'x,y,z'
loop_
_atom_site_label
_atom_site_fract_x
_atom_site_fract_y
_atom_site_fract_z
_atom_site_occupancy
Pm1 0.2481 0.2500 0.2810 1
Pm2 0.7519 0.7500 0.7190 1
Cd1 0.2507 0.2500 0.5646 1
Cd2 0.7493 0.7500 0.4354 1
Cl1 0.2474 0.7500 0.1271 1
Cl2 0.7526 0.2500 0.8729 1
```

***

4.
PmCd2Cl8: relaxed, PBE.

Raw formation energy in eV/atom: -1.258
VASP energy in eV per atom: -3.20
Theoretical density in g cm⁻³: 3.5
Space-group type: I422

Geometry as CIF:
```
data_PmCd2Cl8
_cell_length_a 8.0104
_cell_length_b 8.0104
_cell_length_c 8.0104
_cell_angle_alpha 128.11
_cell_angle_beta 128.11
_cell_angle_gamma 76.45
_symmetry_space_group_name_H-M 'P 1'
_symmetry_Int_Tables_number 1
loop_
_symmetry_equiv_pos_as_xyz
'x,y,z'
loop_
_atom_site_label
_atom_site_fract_x
_atom_site_fract_y
_atom_site_fract_z
_atom_site_occupancy
Pm1 0.0000 0.0000 0.0000 1
Cd1 0.2500 0.7500 0.5000 1
Cd2 0.7500 0.2500 0.5000 1
Cl1 0.0658 0.5853 0.8830 1
Cl2 0.1828 0.0658 0.4805 1
Cl3 0.2977 0.4147 0.4805 1
Cl4 0.4147 0.9342 0.1170 1
Cl5 0.5853 0.7023 0.5195 1
Cl6 0.7023 0.1828 0.1170 1
Cl7 0.8172 0.2977 0.8830 1
Cl8 0.9342 0.8172 0.5195 1
```

***

Q: Number 2 is which compound?
A: Pm3CdCl